No. 1
The following is a PBE calculation of an optimized crystal structure of Mn2TeCl, from Alexandria via LeMat-Bulk.

Structure (POSCAR):
```
Mn2TeCl
1.0
-2.075 2.893 3.548
2.075 -2.893 3.548
2.075 2.893 -3.548
Mn Te Cl
2 1 1
Direct
0.213 0.213 0.000
0.787 0.787 0.000
0.500 0.000 0.500
0.000 0.500 0.500
```

E_form (uncorrected)	0.25	eV per formula unit
size of the total moment	8.98	μB/f.u.
mass density	5.32	g/cm³
crystal system	orthorhombic
energy above the most stable polymorph in this dataset	20.7	kJ per mole of atoms



No. 2
The following is a PBE calculation of an optimized crystal structure of CrIr2Br, from Alexandria via LeMat-Bulk.

Structure (POSCAR):
```
CrIr2Br
1.0
1.421 -2.456 0.000
1.421 2.456 0.000
0.000 0.000 9.814
Cr Ir Br
1 2 1
Direct
0.000 0.000 0.000
0.000 0.000 0.447
0.500 0.500 0.214
0.500 0.500 0.789
```

E_form (uncorrected)	2.94	eV per formula unit
size of the total moment	2.87	μB/f.u.
mass density	12.51	g/cm³
crystal system	orthorhombic
energy above the most stable polymorph in this dataset	31.4	kJ per mole of atoms



No. 3
The following is a PBE calculation of an optimized crystal structure of AgBrO2, from Alexandria via LeMat-Bulk.

Structure (POSCAR):
```
AgBrO2
1.0
4.550 0.000 0.000
2.273 3.959 0.000
0.261 -0.122 6.467
Ag Br O
1 1 2
Direct
0.000 0.000 0.000
0.333 0.335 0.003
0.366 0.819 0.505
0.677 0.700 0.492
```

E_form (uncorrected)	-0.49	eV per formula unit
size of the total moment	2.00	μB/f.u.
mass density	3.13	g/cm³
crystal system	triclinic



No. 4
The following is a PBE calculation of an optimized crystal structure of CaMgMoRu2, from Alexandria via LeMat-Bulk.

Structure (POSCAR):
```
CaMgMoRu2
1.0
4.708 0.000 0.000
0.000 4.708 0.000
0.000 0.000 5.206
Ca Mg Mo Ru
1 1 1 2
Direct
0.000 0.000 0.000
0.500 0.500 0.000
0.000 0.000 0.500
0.000 0.500 0.500
0.500 0.000 0.500
```

total energy	-5.571	eV/atom
size of the total moment	0.00	μB/f.u.
mass density	5.22	g/cm³
crystal system	tetragonal



No. 5
The following is a PBE calculation of an optimized crystal structure of CaPmSc2Se4, from Alexandria via LeMat-Bulk.

Structure (POSCAR):
```
CaPmSc2Se4
1.0
6.996 0.000 0.000
0.000 4.001 0.000
-2.280 0.000 6.616
Ca Pm Sc Se
1 1 2 4
Direct
0.000 0.000 0.000
0.000 0.500 0.500
0.500 0.000 0.500
0.500 0.500 0.000
0.270 0.500 0.254
0.272 0.000 0.761
0.728 0.000 0.239
0.730 0.500 0.746
```

E_form (uncorrected)	-13.88	eV per formula unit
size of the total moment	0.00	μB/f.u.
mass density	5.30	g/cm³
crystal system	monoclinic



No. 6
The following is a PBE calculation of an optimized crystal structure of CoMo2Pt, from Alexandria via LeMat-Bulk.

Structure (POSCAR):
```
CoMo2Pt
1.0
0.000 3.103 3.103
3.103 0.000 3.103
3.103 3.103 0.000
Co Mo Pt
1 2 1
Direct
0.000 0.000 0.000
0.250 0.250 0.250
0.750 0.750 0.750
0.500 0.500 0.500
```

size of the total moment	1.75	μB/f.u.
mass density	12.39	g/cm³
crystal system	cubic
energy above the most stable polymorph in this dataset	43.5	kJ per mole of atoms



No. 7
The following is a PBE calculation of an optimized crystal structure of TbSc2S4, from Alexandria via LeMat-Bulk.

Structure (POSCAR):
```
TbSc2S4
1.0
1.851 -6.102 0.000
1.851 6.102 0.000
0.000 0.000 12.683
Tb Sc S
2 4 8
Direct
0.123 0.877 0.750
0.877 0.123 0.250
0.372 0.628 0.565
0.372 0.628 0.935
0.628 0.372 0.065
0.628 0.372 0.435
0.000 0.000 0.000
0.000 0.000 0.500
0.272 0.728 0.118
0.272 0.728 0.382
0.457 0.543 0.750
0.543 0.457 0.250
0.728 0.272 0.618
0.728 0.272 0.882
```

E_form (uncorrected)	-13.87	eV per formula unit
size of the total moment	0.00	μB/f.u.
mass density	4.37	g/cm³
crystal system	orthorhombic



No. 8
The following is a PBE calculation of an optimized crystal structure of CsCu2Sn2, from Alexandria via LeMat-Bulk.

Structure (POSCAR):
```
CsCu2Sn2
1.0
-2.362 2.362 6.777
2.362 -2.362 6.777
2.362 2.362 -6.777
Cs Cu Sn
1 2 2
Direct
0.000 0.000 0.000
0.250 0.750 0.500
0.750 0.250 0.500
0.331 0.331 0.000
0.669 0.669 0.000
```

size of the total moment	0.00	μB/f.u.
mass density	5.46	g/cm³
crystal system	tetragonal
energy above the most stable polymorph in this dataset	0.0	kJ per mole of atoms



No. 9
The following is a PBE calculation of an optimized crystal structure of Dy2Co3NiP4, from Alexandria via LeMat-Bulk.

Structure (POSCAR):
```
Dy2Co3NiP4
1.0
3.927 0.000 0.000
0.000 3.927 0.000
0.000 0.000 9.084
Dy Co Ni P
2 3 1 4
Direct
0.000 0.500 0.244
0.500 0.000 0.756
0.000 0.500 0.887
0.500 0.000 0.113
0.500 0.500 0.500
0.000 0.000 0.500
0.000 0.000 0.000
0.000 0.500 0.639
0.500 0.000 0.361
0.500 0.500 0.000
```

total energy	-6.803	eV/atom
size of the total moment	0.84	μB/f.u.
mass density	8.11	g/cm³
crystal system	tetragonal



No. 10
The following is a PBE calculation of an optimized crystal structure of TlInNi2, from Alexandria via LeMat-Bulk.

Structure (POSCAR):
```
TlInNi2
1.0
3.179 0.000 0.000
0.000 3.179 0.000
0.000 0.000 7.008
Tl In Ni
1 1 2
Direct
0.000 0.000 0.000
0.500 0.500 0.379
0.000 0.000 0.589
0.500 0.500 0.763
```

size of the total moment	0.00	μB/f.u.
mass density	10.23	g/cm³
crystal system	tetragonal
energy above the most stable polymorph in this dataset	7.8	kJ per mole of atoms



No. 11
The following is a PBE calculation of an optimized crystal structure of LiMg2Be, from Alexandria via LeMat-Bulk.

Structure (POSCAR):
```
LiMg2Be
1.0
-1.987 1.987 4.320
1.987 -1.987 4.320
1.987 1.987 -4.320
Li Mg Be
1 2 1
Direct
0.000 0.000 0.000
0.250 0.750 0.500
0.500 0.500 0.000
0.750 0.250 0.500
```

total energy	-1.980	eV/atom
size of the total moment	0.00	μB/f.u.
mass density	1.57	g/cm³
crystal system	tetragonal



No. 12
The following is a PBE calculation of an optimized crystal structure of ScFeTc2, from Alexandria via LeMat-Bulk.

Structure (POSCAR):
```
ScFeTc2
1.0
-3.606 3.606 2.485
3.606 -3.606 2.485
3.606 3.606 -2.485
Sc Fe Tc
2 2 4
Direct
0.000 0.000 0.000
0.750 0.250 0.500
0.250 0.750 0.500
0.500 0.500 0.000
0.183 0.125 0.558
0.375 0.817 0.942
0.567 0.625 0.442
0.875 0.433 0.058
```

size of the total moment	0.00	μB/f.u.
mass density	7.63	g/cm³
crystal system	tetragonal
energy above the most stable polymorph in this dataset	38.7	kJ per mole of atoms



Q: Which value of mass density does entry 11 give?
A: 1.57 g/cm³